{"formula": "Tl2Cd3Hg7", "functional": "PBE", "state": "optimized geometry", "dft_energy_ev_per_fu": -9.23, "n_ef_per_ev_cell": 3.47, "magnetic_moment_mub_per_fu": 0.00, "spacegroup": "P2/m, No. 10", "lattice_angstrom": [[-1.165, -0.936, -2.902], [6.728, -4.823, -1.146], [-21.688, 1.767, 8.140]], "species": ["Hg", "Hg", "Hg", "Hg", "Hg", "Hg", "Hg", "Tl", "Tl", "Cd", "Cd", "Cd"], "frac_coords": [[0.500, 0.326, 0.581], [0.500, 0.152, 0.172], [0.000, 0.000, 0.000], [0.500, 0.848, 0.828], [0.000, 0.337, 0.845], [0.500, 0.674, 0.419], [0.000, 0.663, 0.155], [0.500, 0.821, 0.324], [0.500, 0.179, 0.676], [0.500, 0.500, 0.000], [0.000, 0.305, 0.390], [0.000, 0.695, 0.610]]}